[1]
4
Lattice="3.6378 0.0000 0.0000 0.0000 2.7753 -0.0097 0.0000 0.0344 7.6201" Properties=species:S:1:pos:R:3 comment="SiAs2Au (GGA-PBE, optimized geometry)" magmom_total_mub_per_cell=0.00 raw_formation_energy_ev_per_atom=0.144 total_energy_ev_per_cell=-17.423 dos_at_fermi_per_ev_atom=0.3491 space_group=Pm pbc="T T T"
As 1.8189 0.3567 1.8952
As 0.0000 0.3810 7.5432
Au 0.0000 0.3603 3.9073
Si 1.8189 0.3757 5.6995

---

[2]
16
Lattice="5.9062 0.0000 2.0916 2.9531 7.9918 1.0458 0.2852 0.0000 8.5792" Properties=species:S:1:pos:R:3 comment="Pm4NdRh3 (GGA-PBE, optimized geometry)" magmom_total_mub_per_cell=0.00 formation_energy_ev_per_atom=-0.55 total_energy_ev_per_cell=-100.425 dos_at_fermi_per_ev_atom=0.9091 space_group=I4/mcm pbc="T T T"
Pm 5.5751 2.3429 3.0266
Pm 2.1710 0.9919 3.2543
Pm 8.0772 7.0000 5.3459
Pm 1.0673 0.9919 6.3707
Pm 6.9735 7.0000 8.4623
Pm 5.5751 5.6490 3.0266
Pm 3.5694 2.3429 8.6900
Pm 3.5694 5.6490 8.6900
Rh 6.6853 3.9959 9.2763
Rh 4.5723 6.5125 5.8583
Rh 2.4593 3.9959 2.4402
Rh 4.4296 0.0000 1.5687
Rh 4.5723 1.4793 5.8583
Rh 1.4765 0.0000 0.5229
Nd 6.0488 3.9959 6.3812
Nd 3.0957 3.9959 5.3354